[1]
Zr2CdPb: optimized geometry, PBE.

Output
Formation energy: 0.3290 eV per atom
Calculated density: 8.654 Mg/m³
Raw total energy: -5.10 eV per atom
N(E_F): 1.18 states/eV per atom
Total magnetization: 0.445 μB/atom

Structure (extended XYZ):
```
4
Lattice="5.146 0.000 0.000 2.573 4.456 0.000 2.573 1.485 4.201" Properties=species:S:1:pos:R:3 pbc="T T T"
Pb 7.718 4.456 3.151
Cd 5.146 2.971 2.101
Zr 0.000 0.000 0.000
Zr 2.573 1.485 1.050
```


[2]
Ce3Nd2Ru2: optimized geometry, PBE.

Output
Formation energy: -0.2443 eV per atom
Calculated density: 8.264 Mg/m³
Raw total energy: -6.80 eV per atom
N(E_F): 1.74 states/eV per atom
Total magnetization: 0.002 μB/atom

Structure (extended XYZ):
```
7
Lattice="-2.014 0.457 3.192 5.075 -3.328 1.414 1.875 8.509 -0.035" Properties=species:S:1:pos:R:3 pbc="T T T"
Nd 2.119 -0.184 3.627
Ce -1.007 0.228 1.596
Nd 2.817 5.822 0.944
Ce 0.790 3.174 2.308
Ce 4.146 2.464 2.263
Ru 1.462 1.102 0.765
Ru 3.474 4.536 3.807
```


[3]
SrAlPt4: optimized geometry, PBE.

Output
Formation energy: -0.5704 eV per atom
Calculated density: 13.187 Mg/m³
Raw total energy: -5.50 eV per atom
N(E_F): 0.40 states/eV per atom
Total magnetization: 0.000 μB/atom

Structure (extended XYZ):
```
6
Lattice="3.429 -4.191 -0.264 1.959 -2.191 4.556 -1.625 -4.934 1.552" Properties=species:S:1:pos:R:3 pbc="T T T"
Pt 0.591 -6.717 2.968
Pt 2.394 -5.337 4.479
Pt 1.408 -4.235 2.187
Sr 2.823 -8.487 4.384
Pt 3.134 -6.343 2.055
Al 0.000 0.000 0.000
```


[4]
Tb2TmSc: optimized geometry, PBE.

Output
Formation energy: 0.0391 eV per atom
Calculated density: 7.478 Mg/m³
Raw total energy: -4.98 eV per atom
N(E_F): 1.54 states/eV per atom
Total magnetization: 0.000 μB/atom

Structure (extended XYZ):
```
4
Lattice="-0.077 -3.500 -0.030 1.132 -0.053 3.313 -9.111 0.173 3.116" Properties=species:S:1:pos:R:3 pbc="T T T"
Sc 0.528 -1.777 1.641
Tm -4.028 -1.690 3.199
Tb -2.194 0.042 0.750
Tb -6.917 0.131 2.366
```


[5]
La3NdInCo: optimized geometry, PBE.

Output
Formation energy: -0.2448 eV per atom
Calculated density: 6.797 Mg/m³
Raw total energy: -5.14 eV per atom
N(E_F): 0.95 states/eV per atom
Total magnetization: 0.000 μB/atom

Structure (extended XYZ):
```
12
Lattice="0.982 6.100 -7.067 5.246 0.336 -7.778 -4.907 -3.494 -1.103" Properties=species:S:1:pos:R:3 pbc="T T T"
In 0.901 2.024 -11.018
Nd 1.686 0.084 -8.145
Co 5.287 5.702 -14.535
La 4.328 2.174 -9.494
La -0.927 -2.045 -6.800
Nd -0.366 2.858 -7.803
La 3.566 4.152 -12.286
La -3.007 0.768 -6.454
Co -3.966 -2.760 -1.413
La 2.247 4.986 -9.148
In 0.419 0.917 -4.930
La -2.246 -1.210 -3.662
```


[6]
Tl2AsBr: optimized geometry, PBE.

Output
Calculated density: 8.057 Mg/m³
Raw total energy: -2.90 eV per atom
N(E_F): 0.58 states/eV per atom
Formation energy (no corrections): -0.14 eV/atom
Total magnetization: 0.000 μB/atom

Structure (extended XYZ):
```
4
Lattice="-0.713 -5.949 -1.558 0.858 -4.300 -4.370 4.885 -1.127 2.067" Properties=species:S:1:pos:R:3 pbc="T T T"
Br 0.645 -2.756 -1.256
Tl 0.758 -10.356 -5.649
Tl 3.161 -8.455 -3.192
As 3.125 -5.745 -1.623
```


[7]
Pr4Er5Tl2: optimized geometry, PBE.

Output
Formation energy: 0.0041 eV per atom
Calculated density: 8.497 Mg/m³
Raw total energy: -4.24 eV per atom
N(E_F): 1.44 states/eV per atom
Total magnetization: 0.000 μB/atom

Structure (extended XYZ):
```
11
Lattice="-2.056 2.628 1.206 -6.480 -5.664 1.299 4.393 -1.386 10.510" Properties=species:S:1:pos:R:3 pbc="T T T"
Tl -4.526 -5.861 5.059
Er -1.510 -5.646 9.732
Pr -3.205 -3.457 7.290
Tl 2.439 -1.190 6.750
Er 0.358 -3.390 7.999
Er -2.446 -3.661 3.809
Pr 1.934 -0.741 10.133
Pr -6.077 -3.681 2.882
Er -0.578 -1.405 2.077
Pr -0.938 -0.966 5.724
Er -3.240 -2.832 0.649
```


[8]
NiSn2Pb: optimized geometry, PBE.

Output
Formation energy: 0.1883 eV per atom
Calculated density: 7.478 Mg/m³
Raw total energy: -4.19 eV per atom
N(E_F): 0.32 states/eV per atom
Total magnetization: 0.000 μB/atom

Structure (extended XYZ):
```
8
Lattice="5.246 0.000 0.000 0.000 5.246 0.000 2.623 2.623 8.123" Properties=species:S:1:pos:R:3 pbc="T T T"
Ni 2.623 5.246 4.061
Pb 5.246 2.623 4.061
Pb 0.000 0.000 0.000
Sn 3.934 4.462 6.092
Ni 2.623 2.623 0.000
Sn 1.839 3.934 2.031
Sn 6.557 6.030 6.092
Sn 3.407 1.311 2.031
```


[9]
Cs2KTeSe: optimized geometry, PBE.

Output
Calculated density: 2.944 Mg/m³
Raw total energy: -2.63 eV per atom
N(E_F): 2.29 states/eV per atom
Formation energy (no corrections): -0.74 eV/atom
Total magnetization: 0.203 μB/atom

Structure (extended XYZ):
```
5
Lattice="6.825 0.000 0.000 0.000 6.825 0.000 0.000 0.000 6.194" Properties=species:S:1:pos:R:3 pbc="T T T"
Cs 3.412 0.000 0.000
K 0.000 0.000 3.097
Se 0.000 0.000 0.000
Cs 0.000 3.412 0.000
Te 3.412 3.412 3.097
```


[10]
HoAg4Sn2: optimized geometry, PBE.

Output
Formation energy: -0.1881 eV per atom
Calculated density: 9.080 Mg/m³
Raw total energy: -3.62 eV per atom
N(E_F): 0.32 states/eV per atom
Total magnetization: 0.000 μB/atom

Structure (extended XYZ):
```
14
Lattice="4.647 0.000 0.000 0.000 8.102 0.000 0.000 0.000 8.102" Properties=species:S:1:pos:R:3 pbc="T T T"
Ag 2.323 3.164 6.990
Sn 0.000 1.668 6.433
Sn 2.323 2.382 2.382
Sn 2.323 5.719 5.719
Ho 0.000 4.051 4.051
Ag 2.323 4.938 1.112
Ag 2.323 1.112 4.938
Ag 0.000 2.939 0.887
Sn 0.000 6.433 1.668
Ag 2.323 6.990 3.164
Ag 0.000 5.163 7.215
Ho 2.323 0.000 0.000
Ag 0.000 0.887 2.939
Ag 0.000 7.215 5.163
```


[11]
Pa2CoN4: optimized geometry, PBE.

Output
Calculated density: 11.213 Mg/m³
Raw total energy: -9.57 eV per atom
N(E_F): 0.22 states/eV per atom
Formation energy (no corrections): -1.09 eV/atom
Total magnetization: 0.153 μB/atom

Structure (extended XYZ):
```
14
Lattice="4.817 0.000 -1.964 0.000 5.456 0.000 -0.134 0.000 6.558" Properties=species:S:1:pos:R:3 pbc="T T T"
Co 0.000 0.000 0.000
Pa 3.026 0.083 0.533
N 3.844 5.066 2.538
Pa 0.618 2.645 1.515
N 1.436 3.118 3.520
Pa 1.656 5.373 4.061
N 3.378 1.364 4.841
N 1.304 4.092 -0.247
N 0.838 0.390 2.056
Co 2.408 2.728 -0.982
N 3.247 2.338 1.074
Pa 4.064 2.812 3.079
N 3.712 4.092 -1.229
N 0.970 1.364 5.823
```


[12]
SrLiPd2: optimized geometry, PBE.

Output
Formation energy: -0.4692 eV per atom
Calculated density: 5.763 Mg/m³
Raw total energy: -3.96 eV per atom
N(E_F): 0.36 states/eV per atom
Total magnetization: 0.000 μB/atom

Structure (extended XYZ):
```
4
Lattice="-2.960 -1.208 -3.120 1.415 -1.379 -4.007 -0.356 -5.689 -0.658" Properties=species:S:1:pos:R:3 pbc="T T T"
Sr 0.000 0.000 0.000
Pd -0.451 -2.795 -1.688
Li -0.950 -4.138 -3.893
Pd -1.449 -5.480 -6.098
```